First-principles (PBE) data for ErTh2Ge2 after structural relaxation, as listed in the Alexandria database.

Unit cell a=7.8425 b=7.8425 c=4.2403 alpha=90.00 beta=90.00 gamma=90.00
Fractional positions:
Er  0.0000  0.0000  0.0000
Er  0.5000  0.5000  0.0000
Th  0.1652  0.3348  0.5000
Th  0.3348  0.8348  0.5000
Th  0.6652  0.1652  0.5000
Th  0.8348  0.6652  0.5000
Ge  0.1385  0.6385  0.0000
Ge  0.3615  0.1385  0.0000
Ge  0.6385  0.8615  0.0000
Ge  0.8615  0.3615  0.0000

Calculated values
The value obtained for the formation energy is -0.73 eV per atom. Its space group is No. 127.

---

First-principles (PBE) data for MgAuCl4 after structural relaxation, as listed in the Alexandria database.

Unit cell a=5.8473 b=5.8473 c=5.8473 alpha=60.00 beta=60.00 gamma=60.00
Fractional positions:
Mg  0.0000  0.0000  0.0000
Au  0.7500  0.7500  0.7500
Cl  0.3754  0.3754  0.3754
Cl  0.3754  0.3754  0.8739
Cl  0.3754  0.8739  0.3754
Cl  0.8739  0.3754  0.3754

Calculated values
The uncorrected formation energy comes out at 388 meV/atom. Its space group is No. 216.

---

First-principles (PBE) data for BiPOs3 after structural relaxation, as listed in the Alexandria database.

Unit cell a=4.4781 b=4.4781 c=4.4781 alpha=90.00 beta=90.00 gamma=90.00
Fractional positions:
Bi  0.0000  0.0000  0.0000
P  0.5000  0.5000  0.5000
Os  0.0000  0.5000  0.5000
Os  0.5000  0.0000  0.5000
Os  0.5000  0.5000  0.0000

Calculated values
The value obtained for the formation energy is 0.91 eV per atom. Its space group is No. 221.

---

First-principles (PBE) data for Mg5InPd3 after structural relaxation, as listed in the Alexandria database.

Unit cell a=6.8235 b=6.8235 c=8.9233 alpha=102.79 beta=102.79 gamma=90.26
Fractional positions:
Mg  0.2250  0.7546  0.3298
Mg  0.2339  0.7661  0.0000
Mg  0.2454  0.7750  0.6702
Mg  0.2531  0.2531  0.4175
Mg  0.2551  0.2551  0.0854
Mg  0.7449  0.7449  0.9146
Mg  0.7469  0.7469  0.5825
Mg  0.7546  0.2250  0.3298
Mg  0.7661  0.2339  0.0000
Mg  0.7750  0.2454  0.6702
In  0.2558  0.2558  0.7510
In  0.7442  0.7442  0.2490
Pd  0.0000  0.0000  0.5000
Pd  0.0010  0.0010  0.1659
Pd  0.4978  0.4978  0.3362
Pd  0.5000  0.5000  0.0000
Pd  0.5022  0.5022  0.6638
Pd  0.9990  0.9990  0.8341

Calculated values
The value obtained for the formation energy is -0.39 eV per atom. Its space group is No. 12.